Record 1
A geometry-optimized Pm2Er structure, computed with PBE.

Lattice parameters (Å, degrees): 6.605 6.605 6.605 60.00 60.00 60.00
Atoms (fractional coordinates):
1 Pm 0.000 0.000 0.000
2 Pm 0.000 0.000 0.500
3 Pm 0.000 0.500 0.000
4 Pm 0.500 0.000 0.000
5 Er 0.375 0.375 0.375
6 Er 0.625 0.625 0.625

Output
Calculated total energy (hartree per atom): -0.1626
Distance to the lowest polymorph of the same formula (kJ/mol of atoms): 0.00
Calculated formation energy (eV per atom): 0.26
Total moment (μB per cell): 0.031

Record 2
A geometry-optimized PmEr2 structure, computed with PBE.

Lattice parameters (Å, degrees): 10.059 10.059 10.059 60.00 60.00 60.00
Atoms (fractional coordinates):
1 Pm 0.125 0.125 0.125
2 Pm 0.875 0.875 0.875
3 Er 0.000 0.000 0.000
4 Er 0.000 0.000 0.500
5 Er 0.000 0.500 0.000
6 Er 0.500 0.000 0.000

Output
Calculated total energy (hartree per atom): -0.0791
Distance to the lowest polymorph of the same formula (kJ/mol of atoms): 210.67
Calculated formation energy (eV per atom): 2.47
Total moment (μB per cell): 6.082

distance to the lowest polymorph of the same formula of number 2 (PmEr2)? 210.67 kJ/mol of atoms